#i
# HfMn3V

A relaxed structure of HfMn3V (PBE, Alexandria).

Total magnetic moment, μB/cell: 12.387

Cell: 4.707 4.707 4.707 Å, 90.00 90.00 90.00°
Atoms (fractional coordinates):
Hf  0.000  0.000  0.000
Mn  0.000  0.000  0.500
Mn  0.000  0.500  0.000
Mn  0.500  0.000  0.000
V  0.500  0.500  0.500

#ii
# HfMn3V

A relaxed structure of HfMn3V (PBE, Alexandria).

Total magnetic moment, μB/cell: 4.077

Cell: 4.274 4.274 4.274 Å, 90.00 90.00 90.00°
Atoms (fractional coordinates):
Hf  0.000  0.000  0.000
Mn  0.000  0.500  0.500
Mn  0.500  0.000  0.500
Mn  0.500  0.500  0.000
V  0.500  0.500  0.500

Least stable = #i

#i
# Hf2MnW

A relaxed structure of Hf2MnW (PBE, Alexandria).

Total magnetic moment, μB/cell: 2.067

Cell: 5.837 5.837 5.837 Å, 103.19 103.19 122.93°
Atoms (fractional coordinates):
Hf  0.099  0.625  0.974
Hf  0.375  0.349  0.474
Hf  0.651  0.125  0.026
Hf  0.875  0.901  0.526
Mn  0.000  0.000  0.000
Mn  0.750  0.250  0.500
W  0.250  0.750  0.500
W  0.500  0.500  0.000

#ii
# Hf2MnW

A relaxed structure of Hf2MnW (PBE, Alexandria).

Total magnetic moment, μB/cell: 1.151

Cell: 3.241 3.241 6.621 Å, 90.00 90.00 90.00°
Atoms (fractional coordinates):
Hf  0.000  0.000  0.239
Hf  0.000  0.000  0.761
Mn  0.500  0.500  0.000
W  0.500  0.500  0.500

#iii
# Hf2MnW

A relaxed structure of Hf2MnW (PBE, Alexandria).

Total magnetic moment, μB/cell: 0.000

Cell: 4.607 4.607 4.607 Å, 60.00 60.00 60.00°
Atoms (fractional coordinates):
Hf  0.250  0.250  0.250
Hf  0.750  0.750  0.750
Mn  0.000  0.000  0.000
W  0.500  0.500  0.500

Least stable = #i

#i
# Y3HfMn

A relaxed structure of Y3HfMn (PBE, Alexandria).

Total magnetic moment, μB/cell: 4.079

Cell: 5.533 5.533 5.533 Å, 90.00 90.00 90.00°
Atoms (fractional coordinates):
Y  0.000  0.000  0.500
Y  0.000  0.500  0.000
Y  0.500  0.000  0.000
Hf  0.000  0.000  0.000
Mn  0.500  0.500  0.500

#ii
# Y3HfMn

A relaxed structure of Y3HfMn (PBE, Alexandria).

Total magnetic moment, μB/cell: 1.554

Cell: 5.169 5.169 5.169 Å, 90.00 90.00 90.00°
Atoms (fractional coordinates):
Y  0.000  0.000  0.500
Y  0.000  0.500  0.000
Y  0.500  0.000  0.000
Hf  0.500  0.500  0.500
Mn  0.000  0.000  0.000

Least stable = #i

#i
# YHfMn2

A relaxed structure of YHfMn2 (PBE, Alexandria).

Total magnetic moment, μB/cell: 4.493

Cell: 4.751 4.751 4.751 Å, 60.00 60.00 60.00°
Atoms (fractional coordinates):
Y  0.000  0.000  0.000
Hf  0.500  0.500  0.500
Mn  0.250  0.250  0.250
Mn  0.750  0.750  0.750

#ii
# YHfMn2

A relaxed structure of YHfMn2 (PBE, Alexandria).

Total magnetic moment, μB/cell: 0.000

Cell: 5.800 5.800 5.800 Å, 104.69 104.69 119.53°
Atoms (fractional coordinates):
Y  0.000  0.000  0.000
Y  0.750  0.250  0.500
Hf  0.250  0.750  0.500
Hf  0.500  0.500  0.000
Mn  0.144  0.625  0.019
Mn  0.375  0.394  0.519
Mn  0.606  0.125  0.981
Mn  0.875  0.856  0.481

Least stable = #ii

#i
# Hf3MnZn

A relaxed structure of Hf3MnZn (PBE, Alexandria).

Total magnetic moment, μB/cell: 0.000

Cell: 4.766 4.766 4.766 Å, 90.00 90.00 90.00°
Atoms (fractional coordinates):
Hf  0.000  0.000  0.500
Hf  0.000  0.500  0.000
Hf  0.500  0.000  0.000
Mn  0.000  0.000  0.000
Zn  0.500  0.500  0.500

#ii
# Hf3MnZn

A relaxed structure of Hf3MnZn (PBE, Alexandria).

Total magnetic moment, μB/cell: 0.003

Cell: 4.825 4.825 4.825 Å, 90.00 90.00 90.00°
Atoms (fractional coordinates):
Hf  0.000  0.000  0.500
Hf  0.000  0.500  0.000
Hf  0.500  0.000  0.000
Mn  0.500  0.500  0.500
Zn  0.000  0.000  0.000

Least stable = #ii

#i
# HfMnZn3

A relaxed structure of HfMnZn3 (PBE, Alexandria).

Total magnetic moment, μB/cell: 3.258

Cell: 5.134 5.134 5.134 Å, 90.00 90.00 90.00°
Atoms (fractional coordinates):
Hf  0.000  0.000  0.000
Mn  0.500  0.500  0.500
Zn  0.000  0.000  0.500
Zn  0.000  0.500  0.000
Zn  0.500  0.000  0.000

#ii
# HfMnZn3

A relaxed structure of HfMnZn3 (PBE, Alexandria).

Total magnetic moment, μB/cell: 1.415

Cell: 4.491 4.491 4.491 Å, 90.00 90.00 90.00°
Atoms (fractional coordinates):
Hf  0.000  0.000  0.000
Mn  0.500  0.500  0.500
Zn  0.000  0.500  0.500
Zn  0.500  0.000  0.500
Zn  0.500  0.500  0.000

Least stable = #i

#i
# HfMn2Zn2

A relaxed structure of HfMn2Zn2 (PBE, Alexandria).

Total magnetic moment, μB/cell: 2.124

Cell: 5.811 5.811 5.811 Å, 141.23 141.23 55.98°
Atoms (fractional coordinates):
Hf  0.000  0.000  0.000
Mn  0.404  0.404  0.000
Mn  0.596  0.596  0.000
Zn  0.250  0.750  0.500
Zn  0.750  0.250  0.500

#ii
# HfMn2Zn2

A relaxed structure of HfMn2Zn2 (PBE, Alexandria).

Total magnetic moment, μB/cell: 9.060

Cell: 7.250 7.250 2.844 Å, 90.00 90.00 90.00°
Atoms (fractional coordinates):
Hf  0.000  0.000  0.000
Hf  0.500  0.500  0.000
Mn  0.123  0.377  0.000
Mn  0.377  0.877  0.000
Mn  0.623  0.123  0.000
Mn  0.877  0.623  0.000
Zn  0.172  0.672  0.500
Zn  0.328  0.172  0.500
Zn  0.672  0.828  0.500
Zn  0.828  0.328  0.500

Least stable = #i

#i
# Hf3ZrMn

A relaxed structure of Hf3ZrMn (PBE, Alexandria).

Total magnetic moment, μB/cell: 0.000

Cell: 4.810 4.810 4.810 Å, 90.00 90.00 90.00°
Atoms (fractional coordinates):
Hf  0.000  0.000  0.500
Hf  0.000  0.500  0.000
Hf  0.500  0.000  0.000
Zr  0.500  0.500  0.500
Mn  0.000  0.000  0.000

#ii
# Hf3ZrMn

A relaxed structure of Hf3ZrMn (PBE, Alexandria).

Total magnetic moment, μB/cell: 0.080

Cell: 5.016 5.016 5.016 Å, 90.00 90.00 90.00°
Atoms (fractional coordinates):
Hf  0.000  0.000  0.500
Hf  0.000  0.500  0.000
Hf  0.500  0.000  0.000
Zr  0.000  0.000  0.000
Mn  0.500  0.500  0.500

Least stable = #ii

#i
# HfMo2

A relaxed structure of HfMo2 (PBE, Alexandria).

Total magnetic moment, μB/cell: 0.000

Cell: 5.355 5.355 5.355 Å, 60.00 60.00 60.00°
Atoms (fractional coordinates):
Hf  0.125  0.125  0.125
Hf  0.875  0.875  0.875
Mo  0.000  0.500  0.500
Mo  0.500  0.000  0.500
Mo  0.500  0.500  0.000
Mo  0.500  0.500  0.500

#ii
# HfMo2

A relaxed structure of HfMo2 (PBE, Alexandria).

Total magnetic moment, μB/cell: 0.000

Cell: 5.521 5.521 5.521 Å, 146.04 146.04 48.79°
Atoms (fractional coordinates):
Hf  0.000  0.000  0.000
Mo  0.321  0.321  0.000
Mo  0.679  0.679  0.000

Least stable = #ii

#i
# HfMo2

A relaxed structure of HfMo2 (PBE, Alexandria).

Total magnetic moment, μB/cell: 0.000

Cell: 5.367 5.367 17.436 Å, 90.00 90.00 120.00°
Atoms (fractional coordinates):
Hf  0.000  0.000  0.095
Hf  0.000  0.000  0.405
Hf  0.000  0.000  0.595
Hf  0.000  0.000  0.905
Hf  0.333  0.667  0.157
Hf  0.333  0.667  0.343
Hf  0.667  0.333  0.657
Hf  0.667  0.333  0.843
Mo  0.000  0.500  0.000
Mo  0.000  0.500  0.500
Mo  0.164  0.327  0.750
Mo  0.164  0.836  0.750
Mo  0.327  0.164  0.250
Mo  0.333  0.667  0.624
Mo  0.333  0.667  0.876
Mo  0.500  0.000  0.000
Mo  0.500  0.000  0.500
Mo  0.500  0.500  0.000
Mo  0.500  0.500  0.500
Mo  0.667  0.333  0.124
Mo  0.667  0.333  0.376
Mo  0.673  0.836  0.750
Mo  0.836  0.164  0.250
Mo  0.836  0.673  0.250

#ii
# HfMo2

A relaxed structure of HfMo2 (PBE, Alexandria).

Total magnetic moment, μB/cell: 0.000

Cell: 7.185 6.967 2.884 Å, 82.50 74.04 23.45°
Atoms (fractional coordinates):
Hf  0.000  0.000  0.000
Mo  0.327  0.327  0.673
Mo  0.673  0.673  0.327

Least stable = #ii

#i
# Hf4Mo

A relaxed structure of Hf4Mo (PBE, Alexandria).

Total magnetic moment, μB/cell: 0.000

Cell: 6.964 6.964 6.964 Å, 60.00 60.00 60.00°
Atoms (fractional coordinates):
Hf  0.193  0.769  0.769
Hf  0.231  0.231  0.231
Hf  0.231  0.231  0.807
Hf  0.231  0.807  0.231
Hf  0.769  0.193  0.769
Hf  0.769  0.769  0.193
Hf  0.769  0.769  0.769
Hf  0.807  0.231  0.231
Mo  0.375  0.375  0.375
Mo  0.625  0.625  0.625

#ii
# Hf4Mo

A relaxed structure of Hf4Mo (PBE, Alexandria).

Total magnetic moment, μB/cell: 0.000

Cell: 4.976 4.976 4.976 Å, 90.00 90.00 90.00°
Atoms (fractional coordinates):
Hf  0.000  0.000  0.000
Hf  0.000  0.500  0.500
Hf  0.500  0.000  0.500
Hf  0.500  0.500  0.000
Mo  0.500  0.500  0.500

Least stable = #i

#i
# HfMo4

A relaxed structure of HfMo4 (PBE, Alexandria).

Total magnetic moment, μB/cell: 0.000

Cell: 2.877 4.474 6.938 Å, 71.25 82.28 89.96°
Atoms (fractional coordinates):
Hf  0.000  0.000  0.000
Mo  0.210  0.798  0.403
Mo  0.418  0.606  0.789
Mo  0.582  0.394  0.211
Mo  0.790  0.202  0.597

#ii
# HfMo4

A relaxed structure of HfMo4 (PBE, Alexandria).

Total magnetic moment, μB/cell: 0.000

Cell: 11.511 11.388 2.818 Å, 85.43 80.45 14.12°
Atoms (fractional coordinates):
Hf  0.000  0.000  0.000
Mo  0.202  0.202  0.798
Mo  0.394  0.394  0.606
Mo  0.606  0.606  0.394
Mo  0.798  0.798  0.202

#iii
# HfMo4

A relaxed structure of HfMo4 (PBE, Alexandria).

Total magnetic moment, μB/cell: 0.000

Cell: 4.694 4.694 4.694 Å, 90.00 90.00 90.00°
Atoms (fractional coordinates):
Hf  0.000  0.000  0.000
Mo  0.000  0.000  0.500
Mo  0.000  0.500  0.000
Mo  0.500  0.000  0.000
Mo  0.500  0.500  0.500

Least stable = #iii